Entry 1:
## CrAg2W (PBE)

Data for a relaxed structure of CrAg2W.

abc: 2.657 2.657 9.425
angles: 90.00 90.00 106.57
Each line ends with the local moment (μB).
Sites, in units of the cell vectors:
Cr1 0.500 0.500 0.250  1.00
Ag1 0.000 0.000 0.491  0.01
Ag2 0.000 0.000 0.009  0.01
W1 0.500 0.500 0.750  -0.05

## Properties
Total magnetic moment = 1.02 μB/cell
Energy above the lowest structure with this stoichiometry = 356 meV/atom
Uncorrected energy = -6.33 eV per atom
Energy of formation = 0.740 eV/atom
Calculated density = 11.8 g/cm3

***

Entry 2:
## GdH6C4NO9 (PBE)

Data for a relaxed structure of GdH6C4NO9.

abc: 6.114 8.163 12.383
angles: 48.89 90.00 90.00
Each line ends with the local moment (μB).
Sites, in units of the cell vectors:
C1 0.407 0.582 0.453  0.00
N1 0.991 0.000 0.750  0.00
O1 0.344 0.768 0.066  0.00
O2 0.396 0.338 0.175  -0.01
O3 0.396 0.662 0.325  -0.01
H1 0.107 0.130 0.170  0.00
C2 0.593 0.418 0.547  0.00
O4 0.000 0.500 0.250  0.00
C3 0.389 0.969 0.986  0.00
H2 0.904 0.613 0.670  0.00
O5 0.278 0.627 0.511  0.00
Gd1 0.612 0.500 0.250  6.94
O6 0.278 0.373 0.989  0.00
Gd2 0.388 0.500 0.750  6.94
H3 0.893 0.130 0.670  0.00
C4 0.389 0.031 0.514  0.00
C5 0.611 0.969 0.486  0.00
H4 0.096 0.387 0.330  0.00
H5 0.893 0.870 0.830  0.00
O7 0.730 0.878 0.115  0.00
O8 0.656 0.232 0.934  0.00
O9 0.730 0.122 0.385  0.00
C6 0.611 0.031 0.014  0.00
O10 0.270 0.878 0.615  0.00
O11 0.722 0.627 0.011  0.00
H6 0.088 0.954 0.705  0.00
H7 0.912 0.954 0.205  0.00
H8 0.107 0.870 0.330  0.00
H9 0.904 0.387 0.830  0.00
N2 0.009 0.000 0.250  0.00
O12 0.604 0.662 0.825  -0.01
H10 0.088 0.046 0.795  0.00
H11 0.912 0.046 0.295  0.00
O13 0.344 0.232 0.434  0.00
O14 0.604 0.338 0.675  -0.01
H12 0.096 0.613 0.170  0.00
O15 0.270 0.122 0.885  0.00
C7 0.593 0.582 0.953  0.00
O16 0.656 0.768 0.566  0.00
C8 0.407 0.418 0.047  0.00
O17 0.722 0.373 0.489  0.00
O18 0.000 0.500 0.750  0.00

## Properties
Total magnetic moment = 13.97 μB/cell
Uncorrected energy = -7.23 eV per atom
Calculated density = 2.6 g/cm3

***

Entry 3:
## YGe4Os2 (PBE)

Data for a relaxed structure of YGe4Os2.

abc: 4.203 6.809 17.062
angles: 90.00 90.00 90.00
Sites, in units of the cell vectors:
Ge1 0.250 0.752 0.190
Ge2 0.250 0.015 0.939
Ge3 0.250 0.365 0.029
Ge4 0.750 0.815 0.810
Ge5 0.250 0.315 0.690
Y1 0.250 0.959 0.356
Ge6 0.750 0.865 0.471
Ge7 0.750 0.985 0.061
Y2 0.750 0.459 0.144
Os1 0.250 0.028 0.792
Ge8 0.750 0.248 0.810
Os2 0.250 0.742 0.040
Os3 0.250 0.472 0.292
Ge9 0.250 0.748 0.690
Ge10 0.750 0.635 0.971
Os4 0.750 0.258 0.960
Ge11 0.750 0.515 0.561
Ge12 0.750 0.685 0.310
Ge13 0.750 0.252 0.310
Y3 0.750 0.041 0.644
Os5 0.750 0.972 0.208
Ge14 0.250 0.485 0.439
Os6 0.750 0.528 0.708
Ge15 0.250 0.185 0.190
Y4 0.250 0.541 0.856
Os7 0.750 0.242 0.460
Os8 0.250 0.758 0.540
Ge16 0.250 0.135 0.529

## Properties
Total magnetic moment = 0.00 μB/cell
Uncorrected energy = -7.08 eV per atom
Energy of formation = -0.306 eV/atom
Calculated density = 10.3 g/cm3

***

Entry 4:
## UNi7Sn2As2 (PBE)

Data for a relaxed structure of UNi7Sn2As2.

abc: 3.776 3.776 13.860
angles: 85.87 85.87 90.61
Each line ends with the local moment (μB).
Sites, in units of the cell vectors:
Ni1 0.384 0.384 0.413  0.01
As1 0.435 0.435 0.243  -0.01
Ni2 0.616 0.616 0.587  0.01
Sn1 0.870 0.870 0.407  0.00
Ni3 0.036 0.536 0.863  -0.01
Ni4 0.500 0.500 0.000  -0.02
As2 0.565 0.565 0.757  -0.01
Ni5 0.464 0.964 0.137  -0.01
Sn2 0.130 0.130 0.593  0.00
U1 0.000 0.000 0.000  0.75
Ni6 0.964 0.464 0.137  -0.01
Ni7 0.536 0.036 0.863  -0.01

## Properties
Total magnetic moment = 0.73 μB/cell
Uncorrected energy = -5.87 eV per atom
Energy of formation = -0.110 eV/atom
Calculated density = 8.8 g/cm3

***

Entry 5:
## K2DyNbO6 (PBE)

Data for a relaxed structure of K2DyNbO6.

abc: 6.053 6.051 6.055
angles: 59.99 59.99 89.99
Each line ends with the local moment (μB).
Sites, in units of the cell vectors:
O1 0.235 0.235 0.530  0.30
Dy1 0.500 0.500 0.000  -0.05
Nb1 0.000 0.000 0.000  -0.14
K1 0.750 0.250 0.500  0.00
O2 0.765 0.765 0.000  0.30
O3 0.765 0.235 0.000  0.30
K2 0.250 0.750 0.500  0.00
O4 0.235 0.765 0.000  0.30
O5 0.235 0.235 0.000  0.30
O6 0.765 0.765 0.470  0.30

## Properties
Total magnetic moment = 2.03 μB/cell
Uncorrected energy = -6.89 eV per atom
Calculated density = 4.6 g/cm3
Formation energy from raw total energies = -2.224 eV/atom

***

Entry 6:
## KBe2In (PBE)

Data for a relaxed structure of KBe2In.

abc: 4.058 4.399 6.323
angles: 68.26 90.00 90.00
Sites, in units of the cell vectors:
Be1 0.500 0.058 0.227
In1 0.000 0.539 0.309
K1 0.500 0.800 0.781
Be2 0.000 0.104 0.183

## Properties
Total magnetic moment = 0.00 μB/cell
Uncorrected energy = -2.35 eV per atom
Energy of formation = 0.477 eV/atom
Calculated density = 2.7 g/cm3

***

Entry 7:
## KDySn2Cl8 (PBE)

Data for a relaxed structure of KDySn2Cl8.

abc: 6.862 6.476 8.889
angles: 90.97 92.32 88.15
Sites, in units of the cell vectors:
Sn1 0.485 0.494 0.250
Sn2 0.515 0.506 0.750
Cl1 0.137 0.750 0.217
Cl2 0.863 0.250 0.783
Cl3 0.641 0.718 0.533
Cl4 0.181 0.788 0.787
Cl5 0.689 0.761 0.964
Cl6 0.819 0.212 0.213
Dy1 0.000 0.000 0.000
Cl7 0.359 0.282 0.467
Cl8 0.311 0.239 0.036
K1 0.000 0.000 0.500

## Properties
Total magnetic moment = 0.00 μB/cell
Uncorrected energy = -3.96 eV per atom
Calculated density = 3.0 g/cm3
Formation energy from raw total energies = -1.589 eV/atom

***

Entry 8:
## Fe2SbPt (PBE)

Data for a relaxed structure of Fe2SbPt.

abc: 3.276 3.276 5.822
angles: 90.00 90.00 90.02
Each line ends with the local moment (μB).
Sites, in units of the cell vectors:
Fe1 0.500 0.500 0.234  2.90
Fe2 0.000 0.000 0.024  2.41
Sb1 0.500 0.500 0.762  -0.03
Pt1 0.000 0.000 0.480  0.10

## Properties
Total magnetic moment = 5.36 μB/cell
Uncorrected energy = -6.71 eV per atom
Calculated density = 11.4 g/cm3
Formation energy from raw total energies = 0.059 eV/atom

***

Entry 9:
## LiTb2TlS4 (PBE)

Data for a relaxed structure of LiTb2TlS4.

abc: 4.036 7.054 14.101
angles: 90.00 90.00 106.62
Sites, in units of the cell vectors:
Tb1 0.634 0.268 0.061
S1 0.738 0.477 0.894
Tl1 0.100 0.200 0.750
S2 0.000 0.000 0.000
Tl2 0.900 0.800 0.250
S3 0.578 0.156 0.250
Tb2 0.366 0.732 0.561
Li1 0.827 0.654 0.750
S4 0.262 0.523 0.394
Li2 0.173 0.346 0.250
S5 0.422 0.844 0.750
S6 0.000 0.000 0.500
Tb3 0.634 0.268 0.439
S7 0.738 0.477 0.606
Tb4 0.366 0.732 0.939
S8 0.262 0.523 0.106

## Properties
Total magnetic moment = 0.00 μB/cell
Uncorrected energy = -5.40 eV per atom
Calculated density = 5.7 g/cm3
Formation energy from raw total energies = -1.646 eV/atom

***

Entry 10:
## SrLi8Zn2 (PBE)

Data for a relaxed structure of SrLi8Zn2.

abc: 5.658 5.658 9.510
angles: 90.00 90.00 90.00
Sites, in units of the cell vectors:
Li1 0.750 0.250 0.817
Li2 0.750 0.750 0.183
Li3 0.250 0.750 0.817
Li4 0.250 0.250 0.817
Li5 0.750 0.250 0.183
Sr1 0.500 0.500 0.500
Li6 0.750 0.750 0.817
Li7 0.250 0.750 0.183
Zn1 0.500 0.000 0.000
Li8 0.250 0.250 0.183
Zn2 0.000 0.500 0.000

## Properties
Total magnetic moment = 0.00 μB/cell
Uncorrected energy = -1.61 eV per atom
Energy of formation = 0.167 eV/atom
Calculated density = 1.5 g/cm3

***

Entry 11:
## Ta2BeRh2 (PBE)

Data for a relaxed structure of Ta2BeRh2.

abc: 7.214 7.214 3.109
angles: 90.00 90.00 90.00
Sites, in units of the cell vectors:
Be1 0.500 0.500 0.000
Be2 0.000 0.000 0.000
Ta1 0.330 0.170 0.500
Ta2 0.670 0.830 0.500
Rh1 0.133 0.367 0.000
Rh2 0.633 0.133 0.000
Rh3 0.867 0.633 0.000
Ta3 0.830 0.330 0.500
Ta4 0.170 0.670 0.500
Rh4 0.367 0.867 0.000

## Properties
Total magnetic moment = 0.00 μB/cell
Uncorrected energy = -8.54 eV per atom
Energy of formation = -0.110 eV/atom
Calculated density = 11.8 g/cm3

***

Entry 12:
## HoThHg4 (PBE)

Data for a relaxed structure of HoThHg4.

abc: 5.024 6.067 6.067
angles: 91.58 65.72 65.72
Sites, in units of the cell vectors:
Hg1 0.250 0.084 0.417
Hg2 0.750 0.916 0.583
Hg3 0.250 0.417 0.084
Hg4 0.750 0.583 0.916
Th1 0.000 0.000 0.000
Ho1 0.500 0.500 0.500

## Properties
Total magnetic moment = 0.00 μB/cell
Energy above the lowest structure with this stoichiometry = 12 meV/atom
Uncorrected energy = -2.50 eV per atom
Energy of formation = -0.300 eV/atom
Calculated density = 13.3 g/cm3

***

> The lowest uncorrected energy belongs to which entry?

Ta2BeRh2